A plane-wave DFT calculation with GGA+U was carried out for a relaxed structure of HoMn2SnO6.

```
HoMn2SnO6
1.0
5.3904 0.0019 0.0087
2.6968 4.6606 -0.0031
2.7022 1.5469 4.8760
O Mn Sn Ho
6 2 1 1
Direct
0.1283 0.3716 0.7655
0.2146 0.9310 0.2341
0.3715 0.7337 0.7644
0.7353 0.1307 0.7633
0.6216 0.2119 0.2339
0.9315 0.6208 0.2340
0.0075 0.0104 0.9732
0.5288 0.5297 0.4131
0.3197 0.3179 0.0433
0.8029 0.8039 0.5904
```

Values from the calculation:
- Mass density: 6.6 Mg/m³
- Electronic total energy: -7.325 eV/atom